No. 1
# Zr2Zn2P | Alexandria via LeMat-Bulk | PBE | optimized geometry
data_Zr2Zn2P
_chemical_formula_sum 'Zr4 Zn4 P2'
_cell_length_a 6.790
_cell_length_b 6.790
_cell_length_c 4.361
_cell_angle_alpha 90.00
_cell_angle_beta 90.00
_cell_angle_gamma 90.00
_symmetry_space_group_name_H-M 'P 4/m b m'
_symmetry_Int_Tables_number 127
_symmetry_space_group_name_Hall '-P 4 2ab'
loop_
_atom_site_label
_atom_site_fract_x
_atom_site_fract_y
_atom_site_fract_z
_atom_site_occupancy
Zr1 0.165 0.335 0.000 1
Zn1 0.135 0.635 0.500 1
P1 0.000 0.000 0.000 1
# - Calculated formation energy: -0.404 eV/atom
# - Spin magnetization: 0.00 μB/f.u.
# - Raw total energy: -5.41 eV per atom

***

No. 2
# La2WSe | Alexandria via LeMat-Bulk | PBE | optimized geometry
data_La2WSe
_chemical_formula_sum 'La8 W4 Se4'
_cell_length_a 7.948
_cell_length_b 7.948
_cell_length_c 6.856
_cell_angle_alpha 90.00
_cell_angle_beta 90.00
_cell_angle_gamma 90.00
_symmetry_space_group_name_H-M 'I -4 2 d'
_symmetry_Int_Tables_number 122
_symmetry_space_group_name_Hall 'I -4 2bw'
loop_
_atom_site_label
_atom_site_fract_x
_atom_site_fract_y
_atom_site_fract_z
_atom_site_occupancy
La1 0.232 0.250 0.125 1
W1 0.000 0.000 0.000 1
Se1 0.000 0.000 0.500 1
# - Spin magnetization: 0.56 μB/f.u.
# - Raw total energy: -6.41 eV per atom

***

No. 3
# Pm3Al3Ga8 | Alexandria via LeMat-Bulk | PBE | optimized geometry
data_Pm3Al3Ga8
_chemical_formula_sum 'Pm6 Al6 Ga16'
_cell_length_a 4.260
_cell_length_b 9.945
_cell_length_c 13.075
_cell_angle_alpha 90.00
_cell_angle_beta 90.00
_cell_angle_gamma 90.00
_symmetry_space_group_name_H-M 'I m m m'
_symmetry_Int_Tables_number 71
_symmetry_space_group_name_Hall '-I 2 2'
loop_
_atom_site_label
_atom_site_fract_x
_atom_site_fract_y
_atom_site_fract_z
_atom_site_occupancy
Pm1 0.000 0.000 0.000 1
Pm2 0.000 0.000 0.317 1
Al1 0.000 0.217 0.500 1
Al2 0.000 0.500 0.000 1
Ga1 0.000 0.276 0.138 1
Ga2 0.000 0.371 0.335 1
# - Calculated formation energy: -0.471 eV/atom
# - Spin magnetization: 0.00 μB/f.u.
# - Raw total energy: -4.02 eV per atom

***

No. 4
# Cs2InAg2 | Alexandria via LeMat-Bulk | PBE | optimized geometry
data_Cs2InAg2
_chemical_formula_sum 'Cs4 In2 Ag4'
_cell_length_a 10.553
_cell_length_b 10.553
_cell_length_c 3.798
_cell_angle_alpha 90.00
_cell_angle_beta 90.00
_cell_angle_gamma 90.00
_symmetry_space_group_name_H-M 'P 4/m b m'
_symmetry_Int_Tables_number 127
_symmetry_space_group_name_Hall '-P 4 2ab'
loop_
_atom_site_label
_atom_site_fract_x
_atom_site_fract_y
_atom_site_fract_z
_atom_site_occupancy
Cs1 0.139 0.361 0.000 1
In1 0.000 0.000 0.000 1
Ag1 0.163 0.663 0.500 1
# - Calculated formation energy: 0.330 eV/atom
# - Spin magnetization: 0.00 μB/f.u.
# - Raw total energy: -1.70 eV per atom

***

No. 5
# LiZnIr2 | Alexandria via LeMat-Bulk | PBE | optimized geometry
data_LiZnIr2
_chemical_formula_sum 'Li4 Zn4 Ir8'
_cell_length_a 6.994
_cell_length_b 6.994
_cell_length_c 4.974
_cell_angle_alpha 90.00
_cell_angle_beta 90.00
_cell_angle_gamma 90.00
_symmetry_space_group_name_H-M 'I -4 2 d'
_symmetry_Int_Tables_number 122
_symmetry_space_group_name_Hall 'I -4 2bw'
loop_
_atom_site_label
_atom_site_fract_x
_atom_site_fract_y
_atom_site_fract_z
_atom_site_occupancy
Li1 0.000 0.000 0.000 1
Zn1 0.000 0.000 0.500 1
Ir1 0.245 0.750 0.625 1
# - Calculated formation energy: 0.373 eV/atom
# - Spin magnetization: 0.00 μB/f.u.
# - Raw total energy: -4.85 eV per atom

***

No. 6
# PmIn2Pb | Alexandria via LeMat-Bulk | PBE | optimized geometry
data_PmIn2Pb
_chemical_formula_sum 'Pm1 In2 Pb1'
_cell_length_a 3.979
_cell_length_b 3.979
_cell_length_c 7.159
_cell_angle_alpha 90.00
_cell_angle_beta 90.00
_cell_angle_gamma 90.00
_symmetry_space_group_name_H-M 'P 4/m m m'
_symmetry_Int_Tables_number 123
_symmetry_space_group_name_Hall '-P 4 2'
loop_
_atom_site_label
_atom_site_fract_x
_atom_site_fract_y
_atom_site_fract_z
_atom_site_occupancy
Pm1 0.000 0.000 0.000 1
In1 0.500 0.500 0.266 1
Pb1 0.000 0.000 0.500 1
# - Calculated formation energy: -0.232 eV/atom
# - Spin magnetization: 0.00 μB/f.u.
# - Raw total energy: -3.72 eV per atom

***

No. 7
# YIrBr | Alexandria via LeMat-Bulk | PBE | optimized geometry
data_YIrBr
_chemical_formula_sum 'Y2 Ir2 Br2'
_cell_length_a 3.328
_cell_length_b 3.328
_cell_length_c 12.487
_cell_angle_alpha 90.00
_cell_angle_beta 90.00
_cell_angle_gamma 90.00
_symmetry_space_group_name_H-M 'I 4 m m'
_symmetry_Int_Tables_number 107
_symmetry_space_group_name_Hall 'I 4 -2'
loop_
_atom_site_label
_atom_site_fract_x
_atom_site_fract_y
_atom_site_fract_z
_atom_site_occupancy
Y1 0.000 0.000 0.000 1
Ir1 0.000 0.000 0.632 1
Br1 0.000 0.000 0.339 1
# - Spin magnetization: 0.00 μB/f.u.
# - Raw total energy: -6.12 eV per atom

***

No. 8
# ZrCu2H2 | Alexandria via LeMat-Bulk | PBE | optimized geometry
data_ZrCu2H2
_chemical_formula_sum 'Zr2 Cu4 H4'
_cell_length_a 3.081
_cell_length_b 3.081
_cell_length_c 11.334
_cell_angle_alpha 90.00
_cell_angle_beta 90.00
_cell_angle_gamma 90.00
_symmetry_space_group_name_H-M 'I 4/m m m'
_symmetry_Int_Tables_number 139
_symmetry_space_group_name_Hall '-I 4 2'
loop_
_atom_site_label
_atom_site_fract_x
_atom_site_fract_y
_atom_site_fract_z
_atom_site_occupancy
Zr1 0.000 0.000 0.000 1
Cu1 0.000 0.000 0.328 1
H1 0.000 0.500 0.250 1
# - Spin magnetization: 0.11 μB/f.u.
# - Raw total energy: -4.57 eV per atom

***

No. 9
# Rb2CaHg2 | Alexandria via LeMat-Bulk | PBE | optimized geometry
data_Rb2CaHg2
_chemical_formula_sum 'Rb4 Ca2 Hg4'
_cell_length_a 5.160
_cell_length_b 5.160
_cell_length_c 15.897
_cell_angle_alpha 90.00
_cell_angle_beta 90.00
_cell_angle_gamma 90.00
_symmetry_space_group_name_H-M 'I 4/m m m'
_symmetry_Int_Tables_number 139
_symmetry_space_group_name_Hall '-I 4 2'
loop_
_atom_site_label
_atom_site_fract_x
_atom_site_fract_y
_atom_site_fract_z
_atom_site_occupancy
Rb1 0.000 0.500 0.250 1
Ca1 0.000 0.000 0.000 1
Hg1 0.000 0.000 0.410 1
# - Calculated formation energy: -0.009 eV/atom
# - Spin magnetization: 0.00 μB/f.u.
# - Raw total energy: -0.92 eV per atom

***

No. 10
# CdAsRu2 | Alexandria via LeMat-Bulk | PBE | optimized geometry
data_CdAsRu2
_chemical_formula_sum 'Cd1 As1 Ru2'
_cell_length_a 2.943
_cell_length_b 4.485
_cell_length_c 5.248
_cell_angle_alpha 90.00
_cell_angle_beta 106.15
_cell_angle_gamma 90.00
_symmetry_space_group_name_H-M 'P 1 m 1'
_symmetry_Int_Tables_number 6
loop_
_symmetry_equiv_pos_as_xyz
'x,y,z'
'x,-y,z'
loop_
_atom_site_label
_atom_site_fract_x
_atom_site_fract_y
_atom_site_fract_z
_atom_site_occupancy
Cd1 0.000 0.000 0.000 1
As1 0.352 0.500 0.704 1
Ru1 0.261 0.000 0.518 1
Ru2 0.652 0.500 0.301 1
# - Calculated formation energy: 0.256 eV/atom
# - Spin magnetization: 0.56 μB/f.u.
# - Raw total energy: -5.77 eV per atom

***

No. 11
# KHg2Pb3 | Alexandria via LeMat-Bulk | PBE | optimized geometry
data_KHg2Pb3
_chemical_formula_sum 'K4 Hg8 Pb12'
_cell_length_a 3.660
_cell_length_b 12.487
_cell_length_c 16.708
_cell_angle_alpha 90.00
_cell_angle_beta 90.00
_cell_angle_gamma 90.00
_symmetry_space_group_name_H-M 'I m m m'
_symmetry_Int_Tables_number 71
_symmetry_space_group_name_Hall '-I 2 2'
loop_
_atom_site_label
_atom_site_fract_x
_atom_site_fract_y
_atom_site_fract_z
_atom_site_occupancy
K1 0.000 0.000 0.148 1
Hg1 0.000 0.360 0.500 1
Hg2 0.000 0.500 0.174 1
Pb1 0.000 0.214 0.332 1
Pb2 0.000 0.369 0.000 1
# - Calculated formation energy: -0.065 eV/atom
# - Spin magnetization: 0.00 μB/f.u.
# - Raw total energy: -2.20 eV per atom

***

No. 12
# Mn3SeN | Alexandria via LeMat-Bulk | PBE | optimized geometry
data_Mn3SeN
_chemical_formula_sum 'Mn3 Se1 N1'
_cell_length_a 3.960
_cell_length_b 3.960
_cell_length_c 3.960
_cell_angle_alpha 90.00
_cell_angle_beta 90.00
_cell_angle_gamma 90.00
_symmetry_space_group_name_H-M 'P m -3 m'
_symmetry_Int_Tables_number 221
_symmetry_space_group_name_Hall '-P 4 2 3'
loop_
_atom_site_label
_atom_site_fract_x
_atom_site_fract_y
_atom_site_fract_z
_atom_site_occupancy
Mn1 0.000 0.000 0.500 1
Se1 0.500 0.500 0.500 1
N1 0.000 0.000 0.000 1
# - Spin magnetization: 8.53 μB/f.u.
# - Raw total energy: -7.86 eV per atom

***

No. 13
# AlCdNF2 | Alexandria via LeMat-Bulk | PBE | optimized geometry
data_AlCdNF2
_chemical_formula_sum 'Al1 Cd1 N1 F2'
_cell_length_a 4.227
_cell_length_b 4.227
_cell_length_c 4.507
_cell_angle_alpha 90.00
_cell_angle_beta 90.00
_cell_angle_gamma 90.00
_symmetry_space_group_name_H-M 'P 4/m m m'
_symmetry_Int_Tables_number 123
_symmetry_space_group_name_Hall '-P 4 2'
loop_
_atom_site_label
_atom_site_fract_x
_atom_site_fract_y
_atom_site_fract_z
_atom_site_occupancy
Al1 0.000 0.000 0.000 1
Cd1 0.500 0.500 0.500 1
N1 0.500 0.500 0.000 1
F1 0.000 0.500 0.500 1
# - Spin magnetization: 0.00 μB/f.u.
# - Raw total energy: -3.57 eV per atom

***

No. 14
# La6Nd2Tm | Alexandria via LeMat-Bulk | PBE | optimized geometry
data_La6Nd2Tm
_chemical_formula_sum 'La12 Nd4 Tm2'
_cell_length_a 9.589
_cell_length_b 18.104
_cell_length_c 3.706
_cell_angle_alpha 90.00
_cell_angle_beta 90.00
_cell_angle_gamma 90.00
_symmetry_space_group_name_H-M 'C m m m'
_symmetry_Int_Tables_number 65
_symmetry_space_group_name_Hall '-C 2 2'
loop_
_atom_site_label
_atom_site_fract_x
_atom_site_fract_y
_atom_site_fract_z
_atom_site_occupancy
La1 0.171 0.164 0.000 1
La2 0.181 0.000 0.500 1
Nd1 0.000 0.329 0.500 1
Tm1 0.000 0.500 0.000 1
# - Calculated formation energy: 0.116 eV/atom
# - Spin magnetization: 0.00 μB/f.u.
# - Raw total energy: -4.73 eV per atom

***

No. 15
# AcPm7Er3 | Alexandria via LeMat-Bulk | PBE | optimized geometry
data_AcPm7Er3
_chemical_formula_sum 'Ac1 Pm7 Er3'
_cell_length_a 7.2458
_cell_length_b 7.2458
_cell_length_c 8.7086
_cell_angle_alpha 90.00
_cell_angle_beta 90.00
_cell_angle_gamma 120.00
_symmetry_space_group_name_H-M 'P 3 m 1'
_symmetry_Int_Tables_number 156
loop_
_symmetry_equiv_pos_as_xyz
'x,y,z'
'-y,x-y,z'
'-x+y,-x,z'
'-y,-x,z'
'-x+y,y,z'
'x,x-y,z'
loop_
_atom_site_label
_atom_site_fract_x
_atom_site_fract_y
_atom_site_fract_z
_atom_site_occupancy
Ac1 0.0000 0.0000 0.0000 1
Pm1 0.0014 0.5007 0.0137 1
Pm2 0.3333 0.6667 0.6788 1
Pm3 0.3341 0.1670 0.6634 1
Er1 0.1685 0.3371 0.3433 1
# - Calculated formation energy: 0.205 eV/atom
# - Spin magnetization: 0.00 μB/f.u.
# - Raw total energy: -4.44 eV per atom

***

No. 16
# BH2W2 | Alexandria via LeMat-Bulk | PBE | optimized geometry
data_BH2W2
_chemical_formula_sum 'B2 H4 W4'
_cell_length_a 5.389
_cell_length_b 5.389
_cell_length_c 2.962
_cell_angle_alpha 90.00
_cell_angle_beta 90.00
_cell_angle_gamma 90.00
_symmetry_space_group_name_H-M 'P 4/m b m'
_symmetry_Int_Tables_number 127
_symmetry_space_group_name_Hall '-P 4 2ab'
loop_
_atom_site_label
_atom_site_fract_x
_atom_site_fract_y
_atom_site_fract_z
_atom_site_occupancy
B1 0.000 0.000 0.000 1
H1 0.105 0.395 0.000 1
W1 0.180 0.680 0.500 1
# - Spin magnetization: 0.00 μB/f.u.
# - Raw total energy: -7.27 eV per atom

***

No. 17
# HIrI2N | Alexandria via LeMat-Bulk | PBE | optimized geometry
data_HIrI2N
_chemical_formula_sum 'H1 Ir1 I2 N1'
_cell_length_a 5.181
_cell_length_b 5.181
_cell_length_c 2.959
_cell_angle_alpha 90.00
_cell_angle_beta 90.00
_cell_angle_gamma 90.00
_symmetry_space_group_name_H-M 'P 4/m m m'
_symmetry_Int_Tables_number 123
_symmetry_space_group_name_Hall '-P 4 2'
loop_
_atom_site_label
_atom_site_fract_x
_atom_site_fract_y
_atom_site_fract_z
_atom_site_occupancy
H1 0.000 0.000 0.000 1
Ir1 0.500 0.500 0.500 1
I1 0.000 0.500 0.000 1
N1 0.000 0.000 0.500 1
# - Spin magnetization: 0.59 μB/f.u.
# - Raw total energy: -3.22 eV per atom

***

No. 18
# SrAc4Rh | Alexandria via LeMat-Bulk | PBE | optimized geometry
data_SrAc4Rh
_chemical_formula_sum 'Sr4 Ac16 Rh4'
_cell_length_a 19.396
_cell_length_b 8.100
_cell_length_c 6.863
_cell_angle_alpha 90.00
_cell_angle_beta 109.20
_cell_angle_gamma 90.00
_symmetry_space_group_name_H-M 'C 1 2/m 1'
_symmetry_Int_Tables_number 12
loop_
_symmetry_equiv_pos_as_xyz
'x,y,z'
'-x,-y,-z'
'-x,y,-z'
'x,-y,z'
'x+1/2,y+1/2,z'
'-x+1/2,-y+1/2,-z'
'-x+1/2,y+1/2,-z'
'x+1/2,-y+1/2,z'
loop_
_atom_site_label
_atom_site_fract_x
_atom_site_fract_y
_atom_site_fract_z
_atom_site_occupancy
Sr1 0.196 0.000 0.188 1
Ac1 0.000 0.253 0.000 1
Ac2 0.109 0.252 0.618 1
Ac3 0.180 0.500 0.196 1
Rh1 0.029 0.500 0.326 1
# - Calculated formation energy: -0.185 eV/atom
# - Spin magnetization: 0.00 μB/f.u.
# - Raw total energy: -4.43 eV per atom

***

No. 19
# Cs2NdSbS4 | Alexandria via LeMat-Bulk | PBE | optimized geometry
data_Cs2NdSbS4
_chemical_formula_sum 'Cs8 Nd4 Sb4 S16'
_cell_length_a 8.825
_cell_length_b 8.880
_cell_length_c 12.510
_cell_angle_alpha 90.00
_cell_angle_beta 90.00
_cell_angle_gamma 90.00
_symmetry_space_group_name_H-M 'I m m a'
_symmetry_Int_Tables_number 74
_symmetry_space_group_name_Hall '-I 2b 2'
loop_
_atom_site_label
_atom_site_fract_x
_atom_site_fract_y
_atom_site_fract_z
_atom_site_occupancy
Cs1 0.000 0.000 0.000 1
Cs2 0.250 0.250 0.250 1
Nd1 0.250 0.250 0.750 1
Sb1 0.000 0.000 0.500 1
S1 0.000 0.040 0.727 1
S2 0.207 0.250 0.520 1
# - Spin magnetization: 0.00 μB/f.u.
# - Raw total energy: -4.54 eV per atom

***

No. 20
# VSbTe3 | Alexandria via LeMat-Bulk | PBE | optimized geometry
data_VSbTe3
_chemical_formula_sum 'V1 Sb1 Te3'
_cell_length_a 5.244
_cell_length_b 5.244
_cell_length_c 5.244
_cell_angle_alpha 90.00
_cell_angle_beta 90.00
_cell_angle_gamma 90.00
_symmetry_space_group_name_H-M 'P m -3 m'
_symmetry_Int_Tables_number 221
_symmetry_space_group_name_Hall '-P 4 2 3'
loop_
_atom_site_label
_atom_site_fract_x
_atom_site_fract_y
_atom_site_fract_z
_atom_site_occupancy
V1 0.000 0.000 0.000 1
Sb1 0.500 0.500 0.500 1
Te1 0.000 0.000 0.500 1
# - Spin magnetization: 1.70 μB/f.u.
# - Raw total energy: -4.25 eV per atom